# Dy4AlIn2

An optimized crystal structure of Dy4AlIn2 (PBE-GGA, Alexandria via LeMat-Bulk).

It has space group I4/mmm (No. 139), with a = 5.652 Å, b = 5.652 Å, c = 13.153 Å, α = 90.00°, β = 90.00° and γ = 90.00°. The distinct sites, in fractional coordinates, are Dy at (0.000, 0.500, 0.000), Dy at (0.000, 0.500, 0.250), Al at (0.000, 0.000, 0.000) and In at (0.000, 0.000, 0.375).

The value obtained for the formation energy is 0.00 eV/atom. The calculation puts the energy relative to the lowest polymorph listed for this composition at 272 meV per atom.